Record 1
## Er3TaO7 (meta-GGA SCAN)

Data for Er3TaO7 at its PBEsol-relaxed geometry.

The structure in extended XYZ format:
```
22
Lattice="6.321 -0.029 0.000 -2.204 5.924 0.000 0.000 0.000 7.373" Properties=species:S:1:pos:R:3 pbc="T T T"
O 2.367 1.019 3.407
O 3.975 3.322 3.966
O 3.975 3.322 7.094
O 1.749 4.876 3.966
O 1.699 2.433 5.530
Er 0.000 0.000 3.686
O 5.103 0.630 1.843
Er -0.762 3.063 5.530
O -1.166 5.007 1.843
O 2.367 1.019 0.279
O 2.417 3.462 1.843
O 0.141 2.573 3.407
O 1.749 4.876 7.094
Ta 2.058 2.947 3.686
Ta 2.058 2.947 0.000
Er 3.137 0.340 5.530
O 5.282 0.887 5.530
O 0.141 2.573 0.279
O -0.987 5.265 5.530
Er 0.979 5.555 1.843
Er 0.000 0.000 0.000
Er 4.878 2.832 1.843
```

Spin magnetization   0.00 Bohr magnetons per cell
Energy above the most stable polymorph in this dataset   36 meV/atom
Formation energy without anion corrections   -40.97 eV/f.u.


Record 2
## NbSi2HgTe (meta-GGA SCAN)

Data for NbSi2HgTe at its PBEsol-relaxed geometry.

The structure in extended XYZ format:
```
5
Lattice="-3.974 2.387 -2.185 1.858 -1.150 -4.635 -2.662 -4.408 0.026" Properties=species:S:1:pos:R:3 pbc="T T T"
Hg -2.389 -1.586 -3.397
Nb -1.331 -2.204 0.013
Te 0.000 0.000 0.000
Si -1.987 1.193 -1.093
Si 0.929 -0.575 -2.318
```

Spin magnetization   1.82 Bohr magnetons per cell
Formation energy without anion corrections   7.55 eV/f.u.


Record 3
## MgTaTc2 (meta-GGA SCAN)

Data for MgTaTc2 at its PBEsol-relaxed geometry.

The structure in extended XYZ format:
```
4
Lattice="-1.040 -0.463 -2.436 -4.203 -0.468 2.997 1.650 4.886 -0.519" Properties=species:S:1:pos:R:3 pbc="T T T"
Mg -1.797 1.978 0.021
Tc 0.825 2.443 -0.260
Ta -0.520 -0.231 -1.218
Tc -2.102 -0.234 1.498
```

Spin magnetization   0.00 Bohr magnetons per cell
Uncorrected energy   -141.5 eV/f.u.


Record 4
## Cu2SiBr (meta-GGA SCAN)

Data for Cu2SiBr at its PBEsol-relaxed geometry.

The structure in extended XYZ format:
```
4
Lattice="-3.801 0.709 -2.322 0.004 -0.359 -4.496 -2.107 -3.457 -1.988" Properties=species:S:1:pos:R:3 pbc="T T T"
Cu -1.476 -0.777 -2.201
Cu 0.000 0.000 0.000
Si -4.428 -2.330 -6.604
Br -2.952 -1.553 -4.403
```

Spin magnetization   0.00 Bohr magnetons per cell
Energy above the most stable polymorph in this dataset   372 meV/atom
Formation energy without anion corrections   3.94 eV/f.u.


Record 5
## PRu3 (meta-GGA SCAN)

Data for PRu3 at its PBEsol-relaxed geometry.

The structure in extended XYZ format:
```
4
Lattice="2.735 0.000 0.000 1.368 2.369 0.000 1.368 0.790 7.965" Properties=species:S:1:pos:R:3 pbc="T T T"
Ru 1.368 0.790 1.806
Ru 4.103 2.369 6.159
Ru 2.735 1.579 3.983
P 0.000 0.000 0.000
```

Spin magnetization   0.00 Bohr magnetons per cell
Energy above the most stable polymorph in this dataset   132 meV/atom


Record 6
## MnZnAu2 (meta-GGA SCAN)

Data for MnZnAu2 at its PBEsol-relaxed geometry.

The structure in extended XYZ format:
```
4
Lattice="-1.937 0.817 -3.305 -1.450 -3.639 -0.049 -1.452 2.635 3.823" Properties=species:S:1:pos:R:3 pbc="T T T"
Zn -2.541 1.020 -0.580
Au -1.693 -1.411 -1.677
Au -2.297 -1.207 1.048
Mn 0.000 0.000 0.000
```

Spin magnetization   4.31 Bohr magnetons per cell
Uncorrected energy   -171.5 eV/f.u.


Record 7
## TcAsPS2 (meta-GGA SCAN)

Data for TcAsPS2 at its PBEsol-relaxed geometry.

The structure in extended XYZ format:
```
5
Lattice="-0.342 3.238 3.229 -4.206 1.048 -1.496 -1.828 -3.130 2.945" Properties=species:S:1:pos:R:3 pbc="T T T"
S -0.171 1.619 1.614
S -2.103 0.524 -0.748
P -0.914 -1.565 1.473
Tc -3.187 0.578 2.339
As 0.000 0.000 0.000
```

Spin magnetization   3.68 Bohr magnetons per cell
Formation energy without anion corrections   5.45 eV/f.u.


Record 8
## TlNiPb2 (meta-GGA SCAN)

Data for TlNiPb2 at its PBEsol-relaxed geometry.

The structure in extended XYZ format:
```
4
Lattice="3.295 0.000 0.000 0.000 3.295 0.000 0.000 0.000 8.593" Properties=species:S:1:pos:R:3 pbc="T T T"
Pb 0.000 0.000 5.917
Pb 0.000 0.000 2.675
Ni 1.648 1.648 4.296
Tl 1.648 1.648 0.000
```

Spin magnetization   0.00 Bohr magnetons per cell
Energy above the most stable polymorph in this dataset   19 meV/atom


Record 9
## Sr2ScIr (meta-GGA SCAN)

Data for Sr2ScIr at its PBEsol-relaxed geometry.

The structure in extended XYZ format:
```
4
Lattice="-2.242 -1.086 3.608 -2.012 0.045 -3.901 4.089 -7.619 0.247" Properties=species:S:1:pos:R:3 pbc="T T T"
Sc -1.416 -3.690 0.673
Sr 1.305 -5.158 -0.742
Sr 0.197 -0.808 -0.121
Ir -1.340 -3.313 -1.830
```

Spin magnetization   0.00 Bohr magnetons per cell
Energy above the most stable polymorph in this dataset   0 meV/atom


Record 10
## AlRhBr2 (meta-GGA SCAN)

Data for AlRhBr2 at its PBEsol-relaxed geometry.

The structure in extended XYZ format:
```
4
Lattice="-2.929 -2.491 -2.695 -0.101 -4.681 0.347 -3.717 -2.132 1.919" Properties=species:S:1:pos:R:3 pbc="T T T"
Al -3.374 -4.652 -0.214
Br -1.687 -2.326 -0.107
Br -5.060 -6.978 -0.321
Rh 0.000 0.000 0.000
```

Spin magnetization   1.04 Bohr magnetons per cell
Energy above the most stable polymorph in this dataset   278 meV/atom
Formation energy without anion corrections   1.93 eV/f.u.


Record 11
## SbMoI2Cl (meta-GGA SCAN)

Data for SbMoI2Cl at its PBEsol-relaxed geometry.

The structure in extended XYZ format:
```
5
Lattice="5.283 0.000 0.000 0.000 5.484 0.000 0.000 0.000 5.484" Properties=species:S:1:pos:R:3 pbc="T T T"
Cl 0.000 0.000 0.000
I 0.000 2.742 0.000
I 0.000 0.000 2.742
Mo 2.642 2.742 2.742
Sb 2.642 0.000 0.000
```

Spin magnetization   3.74 Bohr magnetons per cell
Energy above the most stable polymorph in this dataset   933 meV/atom
Formation energy without anion corrections   6.35 eV/f.u.


Record 12
## Mg3ZrGe (meta-GGA SCAN)

Data for Mg3ZrGe at its PBEsol-relaxed geometry.

The structure in extended XYZ format:
```
5
Lattice="-1.656 0.370 5.152 3.541 -3.858 1.415 3.761 3.796 0.936" Properties=species:S:1:pos:R:3 pbc="T T T"
Mg 1.771 -1.929 0.708
Ge 2.823 0.154 3.752
Mg 1.880 1.898 0.468
Zr 0.000 0.000 0.000
Mg -0.828 0.185 2.576
```

Spin magnetization   2.56 Bohr magnetons per cell
Uncorrected energy   -57.8 eV/f.u.